Entry 1:
This record from Alexandria describes a relaxed LiTl2Au crystal. The functional is PBE.

Size of the total moment (μB per formula unit): 0.00
ΔE_f (meV/atom): -189
Space group: Pm

Cell: 3.4530 3.6195 7.3416 Å, 90.00 92.27 90.00°
Last column: nearest neighbours and their distance in Å.
Positions (direct):
Li  0.0000  0.0000  0.0000  4 Au 2.72-2.73, 1 Tl 3.04
Tl  0.9996  0.0000  0.5857  1 Li 3.04, 4 Au 3.12-3.24, 2 Tl 3.40
Tl  0.5031  0.5000  0.2606  1 Au 2.99, 4 Li 3.11-3.18
Au  0.4912  0.5000  0.8527  4 Li 2.72-2.73, 1 Tl 2.99


Entry 2:
This record from Alexandria describes a relaxed Li8TlAu2 crystal. The functional is PBE.

Size of the total moment (μB per formula unit): 0.00
ΔE_f (meV/atom): -309
Relative energy among the computed polymorphs (eV per atom): 0.017
Space group: C2/m

Cell: 6.8791 6.8791 4.4429 Å, 90.37 90.37 107.03°
Last column: nearest neighbours and their distance in Å.
Positions (direct):
Li  0.1601  0.1601  0.9964  1 Li 2.62, 1 Tl 2.78, 2 Au 2.91
Li  0.1905  0.4673  0.4966  2 Au 2.69-2.96, 4 Li 2.79-2.93
Li  0.2448  0.7552  0.0000  2 Au 2.58, 1 Tl 2.82
Li  0.4673  0.1905  0.4966  2 Au 2.69-2.96, 4 Li 2.79-2.93
Li  0.5327  0.8095  0.5034  2 Au 2.69-2.96, 4 Li 2.79-2.93
Li  0.7552  0.2448  0.0000  2 Au 2.58, 1 Tl 2.82
Li  0.8095  0.5327  0.5034  2 Au 2.69-2.96, 4 Li 2.79-2.93
Li  0.8399  0.8399  0.0036  1 Li 2.62, 1 Tl 2.78, 2 Au 2.91
Tl  0.5000  0.5000  0.0000  12 Li 2.78-3.04
Au  0.1257  0.8743  0.5000  4 Li 2.58-2.69, 1 Au 2.78
Au  0.8743  0.1257  0.5000  4 Li 2.58-2.69, 1 Au 2.78


Entry 3:
This record from Alexandria describes a relaxed LiTl2Au crystal. The functional is PBE.

Size of the total moment (μB per formula unit): 0.00
ΔE_f (meV/atom): -121
Space group: P2/m

Cell: 3.6744 3.6515 6.7859 Å, 90.00 94.55 90.00°
Last column: nearest neighbours and their distance in Å.
Positions (direct):
Li  0.0000  0.0000  0.0000  8 Tl 3.01-3.19
Tl  0.4944  0.5000  0.2504  4 Li 3.01-3.19, 4 Au 3.03-3.16
Tl  0.5056  0.5000  0.7496  4 Li 3.01-3.19, 4 Au 3.03-3.16
Au  0.0000  0.0000  0.5000  8 Tl 3.03-3.16


Entry 4:
This record from Alexandria describes a relaxed Li5TlAu crystal. The functional is PBE.

Size of the total moment (μB per formula unit): 0.00
ΔE_f (meV/atom): -238
Relative energy among the computed polymorphs (eV per atom): 0.000
Space group: P4/mmm

Cell: 3.9045 3.9045 8.4708 Å, 90.00 90.00 90.00°
Last column: nearest neighbours and their distance in Å.
Positions (direct):
Li  0.0000  0.0000  0.0000  4 Au 2.76, 8 Li 2.83
Li  0.0000  0.5000  0.2416  6 Li 2.76-2.83, 2 Au 2.83, 2 Tl 2.93
Li  0.0000  0.5000  0.7584  6 Li 2.76-2.83, 2 Au 2.83, 2 Tl 2.93
Li  0.5000  0.0000  0.2416  6 Li 2.76-2.83, 2 Au 2.83, 2 Tl 2.93
Li  0.5000  0.0000  0.7584  6 Li 2.76-2.83, 2 Au 2.83, 2 Tl 2.93
Tl  0.0000  0.0000  0.5000  8 Li 2.93
Au  0.5000  0.5000  0.0000  12 Li 2.76-2.83


Entry 5:
This record from Alexandria describes a relaxed Li2TlAu crystal. The functional is PBE.

Size of the total moment (μB per formula unit): 0.00
ΔE_f (meV/atom): -207
Relative energy among the computed polymorphs (eV per atom): 0.193
Space group: I-42d

Cell: 6.0436 6.0436 6.0436 Å, 104.10 104.10 120.84°
Last column: nearest neighbours and their distance in Å.
Positions (direct):
Li  0.0921  0.6250  0.9671  2 Au 2.57
Li  0.3750  0.3421  0.4671  2 Au 2.57
Li  0.6579  0.1250  0.0329  2 Au 2.57
Li  0.8750  0.9079  0.5329  2 Au 2.57
Tl  0.2500  0.7500  0.5000  4 Li 2.90, 2 Au 2.98
Tl  0.5000  0.5000  0.0000  4 Li 2.90, 2 Au 2.98
Au  0.0000  0.0000  0.0000  4 Li 2.57
Au  0.7500  0.2500  0.5000  4 Li 2.57


Entry 6:
This record from Alexandria describes a relaxed Li7Tl3Au crystal. The functional is PBE.

Size of the total moment (μB per formula unit): 0.00
ΔE_f (meV/atom): -214
Space group: Cmcm

Cell: 9.9012 9.9012 14.8673 Å, 90.00 90.00 162.50°
Last column: nearest neighbours and their distance in Å.
Positions (direct):
Li  0.0100  0.9900  0.5975  2 Li 2.67-2.93, 2 Au 2.77, 2 Tl 2.91
Li  0.0100  0.9900  0.9025  2 Li 2.67-2.93, 2 Au 2.77, 2 Tl 2.91
Li  0.1118  0.8882  0.7500  2 Au 2.92, 1 Tl 3.01, 4 Li 3.01-3.02
Li  0.1175  0.8825  0.1616  3 Li 2.63-2.76, 2 Au 2.82
Li  0.1175  0.8825  0.3384  3 Li 2.63-2.76, 2 Au 2.82
Li  0.2454  0.7546  0.0836  5 Li 2.76-3.01, 3 Tl 2.85-2.90
Li  0.2454  0.7546  0.4164  5 Li 2.76-3.01, 3 Tl 2.85-2.90
Li  0.7546  0.2454  0.5836  5 Li 2.76-3.01, 3 Tl 2.85-2.90
Li  0.7546  0.2454  0.9164  5 Li 2.76-3.01, 3 Tl 2.85-2.90
Li  0.8825  0.1175  0.6616  3 Li 2.63-2.76, 2 Au 2.82
Li  0.8825  0.1175  0.8384  3 Li 2.63-2.76, 2 Au 2.82
Li  0.8882  0.1118  0.2500  2 Au 2.92, 1 Tl 3.01, 4 Li 3.01-3.02
Li  0.9900  0.0100  0.0975  2 Li 2.67-2.93, 2 Au 2.77, 2 Tl 2.91
Li  0.9900  0.0100  0.4025  2 Li 2.67-2.93, 2 Au 2.77, 2 Tl 2.91
Tl  0.2654  0.7346  0.7500  9 Li 2.90-3.04, 2 Tl 3.01
Tl  0.3808  0.6192  0.0119  5 Li 2.85-2.99, 2 Tl 3.01
Tl  0.3808  0.6192  0.4881  5 Li 2.85-2.99, 2 Tl 3.01
Tl  0.6192  0.3808  0.5119  5 Li 2.85-2.99, 2 Tl 3.01
Tl  0.6192  0.3808  0.9881  5 Li 2.85-2.99, 2 Tl 3.01
Tl  0.7346  0.2654  0.2500  9 Li 2.90-3.04, 2 Tl 3.01
Au  0.4842  0.5158  0.7500  10 Li 2.77-2.92, 2 Au 3.01
Au  0.5158  0.4842  0.2500  10 Li 2.77-2.92, 2 Au 3.01


Entry 7:
This record from Alexandria describes a relaxed LiTlAu3 crystal. The functional is PBE.

Size of the total moment (μB per formula unit): 0.00
ΔE_f (meV/atom): 359
Relative energy among the computed polymorphs (eV per atom): 0.213
Space group: Pm-3m

Cell: 5.3435 5.3435 5.3435 Å, 90.00 90.00 90.00°
Last column: nearest neighbours and their distance in Å.
Positions (direct):
Li  0.0000  0.0000  0.0000  12 Au 3.78
Tl  0.5000  0.5000  0.5000  6 Au 2.67
Au  0.0000  0.5000  0.5000  2 Tl 2.67
Au  0.5000  0.0000  0.5000  2 Tl 2.67
Au  0.5000  0.5000  0.0000  2 Tl 2.67


Entry 8:
This record from Alexandria describes a relaxed Li4TlAu3 crystal. The functional is PBE.

Size of the total moment (μB per formula unit): 0.00
ΔE_f (meV/atom): -457
Space group: Pmma

Cell: 9.3292 6.0360 4.6956 Å, 90.00 90.00 90.00°
Last column: nearest neighbours and their distance in Å.
Positions (direct):
Li  0.0000  0.2325  0.0000  6 Au 2.73-2.84, 1 Li 2.81, 2 Tl 2.85
Li  0.0000  0.7675  0.0000  6 Au 2.73-2.84, 1 Li 2.81, 2 Tl 2.85
Li  0.2500  0.2322  0.4663  6 Au 2.72-2.90, 1 Li 2.80, 2 Tl 2.84
Li  0.2500  0.7678  0.4663  6 Au 2.72-2.90, 1 Li 2.80, 2 Tl 2.84
Li  0.5000  0.2325  0.0000  6 Au 2.73-2.84, 1 Li 2.81, 2 Tl 2.85
Li  0.5000  0.7675  0.0000  6 Au 2.73-2.84, 1 Li 2.81, 2 Tl 2.85
Li  0.7500  0.2322  0.5337  6 Au 2.72-2.90, 1 Li 2.80, 2 Tl 2.84
Li  0.7500  0.7678  0.5337  6 Au 2.72-2.90, 1 Li 2.80, 2 Tl 2.84
Tl  0.0000  0.5000  0.5000  8 Li 2.84-2.85, 2 Au 3.02
Tl  0.5000  0.5000  0.5000  8 Li 2.84-2.85, 2 Au 3.02
Au  0.0000  0.0000  0.5000  8 Li 2.73-2.74, 2 Tl 3.02
Au  0.2500  0.0000  0.9640  8 Li 2.72-2.74, 2 Au 3.02
Au  0.2500  0.5000  0.9792  8 Li 2.80-2.90, 2 Au 3.02
Au  0.5000  0.0000  0.5000  8 Li 2.73-2.74, 2 Tl 3.02
Au  0.7500  0.0000  0.0360  8 Li 2.72-2.74, 2 Au 3.02
Au  0.7500  0.5000  0.0208  8 Li 2.80-2.90, 2 Au 3.02


Entry 9:
This record from Alexandria describes a relaxed Li2Tl2Au crystal. The functional is PBE.

Size of the total moment (μB per formula unit): 0.00
ΔE_f (meV/atom): -36
Relative energy among the computed polymorphs (eV per atom): 0.160
Space group: I4/mmm

Cell: 7.7148 7.7148 7.7148 Å, 151.14 151.14 41.27°
Last column: nearest neighbours and their distance in Å.
Positions (direct):
Li  0.2500  0.7500  0.5000  4 Li 2.72, 4 Tl 2.85
Li  0.7500  0.2500  0.5000  4 Li 2.72, 4 Tl 2.85
Tl  0.1039  0.1039  0.0000  4 Li 2.85, 1 Tl 3.00, 4 Au 3.11
Tl  0.8961  0.8961  0.0000  4 Li 2.85, 1 Tl 3.00, 4 Au 3.11
Au  0.5000  0.5000  0.0000  8 Tl 3.11


Entry 10:
This record from Alexandria describes a relaxed Li4Tl2Au3 crystal. The functional is PBE.

Size of the total moment (μB per formula unit): 0.00
ΔE_f (meV/atom): -368
Space group: P-1

Cell: 4.6125 4.6340 8.5282 Å, 87.14 87.63 61.47°
Last column: nearest neighbours and their distance in Å.
Positions (direct):
Li  0.0068  0.0119  0.1575  1 Li 2.70, 4 Au 2.77-2.92, 3 Tl 2.85-2.87
Li  0.3313  0.3293  0.6040  4 Au 2.72-2.84, 4 Tl 2.82-2.90
Li  0.6687  0.6707  0.3960  4 Au 2.72-2.84, 4 Tl 2.82-2.90
Li  0.9932  0.9881  0.8425  1 Li 2.70, 4 Au 2.77-2.92, 3 Tl 2.85-2.87
Tl  0.3378  0.3420  0.2727  7 Li 2.82-2.90, 2 Au 2.99-3.06
Tl  0.6622  0.6580  0.7273  7 Li 2.82-2.90, 2 Au 2.99-3.06
Au  0.0000  0.0000  0.5000  8 Li 2.82-2.92
Au  0.3263  0.3242  0.9227  4 Li 2.72-2.78, 2 Au 2.92-2.94, 1 Tl 2.99
Au  0.6737  0.6758  0.0773  4 Li 2.72-2.78, 2 Au 2.92-2.94, 1 Tl 2.99


Entry 11:
This record from Alexandria describes a relaxed Li3TlAu3 crystal. The functional is PBE.

Size of the total moment (μB per formula unit): 0.00
ΔE_f (meV/atom): -67
Space group: Pm-3n

Cell: 7.0230 7.0230 7.0230 Å, 90.00 90.00 90.00°
Last column: nearest neighbours and their distance in Å.
Positions (direct):
Li  0.0000  0.2500  0.5000  4 Au 2.48
Li  0.0000  0.7500  0.5000  4 Au 2.48
Li  0.2500  0.5000  0.0000  4 Au 2.48
Li  0.5000  0.0000  0.2500  4 Au 2.48
Li  0.5000  0.0000  0.7500  4 Au 2.48
Li  0.7500  0.5000  0.0000  4 Au 2.48
Tl  0.0000  0.0000  0.0000  12 Li 3.93, 12 Au 3.93
Tl  0.5000  0.5000  0.5000  12 Li 3.93, 12 Au 3.93
Au  0.0000  0.5000  0.2500  4 Li 2.48
Au  0.0000  0.5000  0.7500  4 Li 2.48
Au  0.2500  0.0000  0.5000  4 Li 2.48
Au  0.5000  0.2500  0.0000  4 Li 2.48
Au  0.5000  0.7500  0.0000  4 Li 2.48
Au  0.7500  0.0000  0.5000  4 Li 2.48